*w*
{"formula": "BaUBi2", "functional": "PBE", "state": "relaxed", "density_g_cm3": 9.833, "crystal_system": "tetragonal", "lattice": [[-3.0796, 0.3196, -2.4300], [2.0331, -1.8463, -2.8194], [-3.0076, -7.6050, 2.8113]], "species": ["Ba", "Bi", "Bi", "U"], "fractional_positions": [[0.5000, 0.5000, 0.5000], [0.0000, 0.0000, 0.2181], [0.0000, 0.0000, 0.7819], [0.5000, 0.5000, 0.0000]]}



*x*
{"formula": "BaUBi2", "functional": "PBE", "state": "relaxed", "density_g_cm3": 8.492, "crystal_system": "trigonal", "lattice": [[-2.6702, 3.7635, 0.9968], [-4.3462, -0.5856, 1.7481], [0.6437, 1.1990, 8.3769]], "species": ["Bi", "Bi", "U", "Ba"], "fractional_positions": [[0.2635, 0.2635, 0.2094], [0.7365, 0.7365, 0.7906], [0.0000, 0.0000, 0.0000], [0.5000, 0.5000, 0.5000]]}



On energetic grounds, *x* is preferred over the next structure by 6.1 kJ/mol of atoms.



*w*
{"formula": "BaV3Bi", "functional": "PBE", "state": "relaxed", "density_g_cm3": 6.513, "crystal_system": "cubic", "lattice": [[5.0299, 0.0000, 0.0000], [0.0000, 5.0299, 0.0000], [0.0000, 0.0000, 5.0299]], "species": ["V", "V", "V", "Ba", "Bi"], "fractional_positions": [[0.5000, 0.0000, 0.0000], [0.0000, 0.0000, 0.5000], [0.0000, 0.5000, 0.0000], [0.0000, 0.0000, 0.0000], [0.5000, 0.5000, 0.5000]]}



*x*
{"formula": "BaV3Bi", "functional": "PBE", "state": "relaxed", "density_g_cm3": 5.243, "crystal_system": "cubic", "lattice": [[5.4070, 0.0000, 0.0000], [0.0000, 5.4070, 0.0000], [0.0000, 0.0000, 5.4070]], "species": ["V", "V", "V", "Bi", "Ba"], "fractional_positions": [[0.0000, 0.0000, 0.5000], [0.5000, 0.0000, 0.0000], [0.0000, 0.5000, 0.0000], [0.0000, 0.0000, 0.0000], [0.5000, 0.5000, 0.5000]]}



On energetic grounds, *x* is preferred over the next structure by 94.9 kJ/mol of atoms.



*w*
{"formula": "BaVBi3", "functional": "PBE", "state": "relaxed", "density_g_cm3": 5.511, "crystal_system": "cubic", "lattice": [[6.2628, 0.0000, 0.0000], [0.0000, 6.2628, 0.0000], [0.0000, 0.0000, 6.2628]], "species": ["Bi", "Bi", "Bi", "V", "Ba"], "fractional_positions": [[0.5000, 0.0000, 0.0000], [0.0000, 0.5000, 0.0000], [0.0000, 0.0000, 0.5000], [0.5000, 0.5000, 0.5000], [0.0000, 0.0000, 0.0000]]}



*x*
{"formula": "BaVBi3", "functional": "PBE", "state": "relaxed", "density_g_cm3": 8.318, "crystal_system": "cubic", "lattice": [[5.4597, 0.0000, 0.0000], [0.0000, 5.4597, 0.0000], [0.0000, 0.0000, 5.4597]], "species": ["Bi", "Bi", "Bi", "V", "Ba"], "fractional_positions": [[0.0000, 0.5000, 0.0000], [0.5000, 0.0000, 0.0000], [0.0000, 0.0000, 0.5000], [0.0000, 0.0000, 0.0000], [0.5000, 0.5000, 0.5000]]}



On energetic grounds, *x* is preferred over the next structure by 145.0 kJ/mol of atoms.